Dy2Y2Tl7 | the Alexandria database | PBE-GGA | optimized geometry; N(E_F) = 6.8 states/eV/f.u.; calculated formation energy = -0.09 eV/atom; density = 9798 kg/m3; SG = No. 12
1.0
7.474 -0.179 -0.403
-0.501 5.956 0.476
-0.867 0.173 7.434
Dy Y Tl
2 2 7
Cartesian
5.121 2.973 5.956
0.984 2.977 1.552
5.175 1.029 1.758
0.930 4.921 5.749
-0.207 1.667 4.531
4.032 4.285 0.550
6.312 4.283 2.977
2.072 1.665 6.957
0.000 0.000 0.000
3.198 4.461 3.618
2.907 1.489 3.890